meta-GGA SCAN BaMn2Fe, single point on PBEsol structure; symmetry = P4mm, No. 99; ρ = 7.24 g/cm³; DFT formation energy = 0.5840 eV/atom; energy above the most stable polymorph in this dataset = 0.000 eV/f.u.
1.0
-0.770 2.151 1.971
-2.581 0.448 -1.498
-3.440 -5.228 4.361
Ba Mn Fe
1 2 1
direct
0.000 0.000 0.510
0.500 0.500 0.159
0.000 0.000 0.992
0.500 0.500 0.839

=====

meta-GGA SCAN BaMn2Fe, single point on PBEsol structure; symmetry = P4/mmm, No. 123; ρ = 7.16 g/cm³; DFT formation energy = 0.8611 eV/atom; energy above the most stable polymorph in this dataset = 1.109 eV/f.u.
1.0
-1.057 -2.794 0.900
2.067 -0.030 2.336
-4.825 3.214 4.310
Mn Ba Fe
2 1 1
direct
0.000 0.000 0.637
0.000 0.000 0.363
0.500 0.500 0.000
0.500 0.500 0.500